Record 1
# PBE-GGA TmTh2NpP4, optimized geometry
data_TmTh2NpP4
_space_group_name_H-M_alt 'P 1 2/m 1'
_space_group_IT_number 10
_cell_length_a 6.997
_cell_length_b 4.069
_cell_length_c 7.030
_cell_angle_alpha 90.00
_cell_angle_beta 109.65
_cell_angle_gamma 90.00
loop_
_space_group_symop_operation_xyz
'x,y,z'
'-x,-y,-z'
'-x,y,-z'
'x,-y,z'
loop_
_atom_site_label
_atom_site_fract_x
_atom_site_fract_y
_atom_site_fract_z
_atom_site_occupancy
Tm1 0.000 0.000 0.000 1
Th1 0.500 0.000 0.500 1
Th2 0.500 0.500 0.000 1
Np1 0.000 0.500 0.500 1
P1 0.237 0.000 0.746 1
P2 0.238 0.500 0.246 1
# Fermi-level density of states   12.80 states/eV/f.u.


Record 2
# PBE-GGA Th2NpU3P6, optimized geometry
data_Th2NpU3P6
_space_group_name_H-M_alt 'C 1 2/m 1'
_space_group_IT_number 12
_cell_length_a 17.535
_cell_length_b 3.997
_cell_length_c 8.037
_cell_angle_alpha 90.00
_cell_angle_beta 103.77
_cell_angle_gamma 90.00
loop_
_space_group_symop_operation_xyz
'x,y,z'
'-x,-y,-z'
'-x,y,-z'
'x,-y,z'
'x+1/2,y+1/2,z'
'-x+1/2,-y+1/2,-z'
'-x+1/2,y+1/2,-z'
'x+1/2,-y+1/2,z'
loop_
_atom_site_label
_atom_site_fract_x
_atom_site_fract_y
_atom_site_fract_z
_atom_site_occupancy
Th1 0.164 0.000 0.332 1
Np1 0.000 0.500 0.000 1
U1 0.000 0.500 0.500 1
U2 0.169 0.000 0.836 1
P1 0.005 0.000 0.752 1
P2 0.164 0.500 0.594 1
P3 0.167 0.500 0.073 1
# Fermi-level density of states   23.82 states/eV/f.u.


Record 3
# PBE-GGA YTh2NpP4, optimized geometry
data_YTh2NpP4
_space_group_name_H-M_alt 'P 1 2/m 1'
_space_group_IT_number 10
_cell_length_a 7.027
_cell_length_b 4.084
_cell_length_c 7.061
_cell_angle_alpha 90.00
_cell_angle_beta 109.63
_cell_angle_gamma 90.00
loop_
_space_group_symop_operation_xyz
'x,y,z'
'-x,-y,-z'
'-x,y,-z'
'x,-y,z'
loop_
_atom_site_label
_atom_site_fract_x
_atom_site_fract_y
_atom_site_fract_z
_atom_site_occupancy
Y1 0.000 0.000 0.000 1
Th1 0.500 0.000 0.500 1
Th2 0.500 0.500 0.000 1
Np1 0.000 0.500 0.500 1
P1 0.239 0.000 0.744 1
P2 0.242 0.500 0.249 1
# Fermi-level density of states   13.06 states/eV/f.u.


Which spin magnetization belongs to each record? In order, 4.06 2.29 4.10 μB per formula unit.
Which VASP energy belongs to each record? In order, -64.968 -215.260 -67.049 eV for the cell shown.